Run 1
A plane-wave DFT calculation with PBE was carried out for a geometry-optimized InPd2C structure.

abc: 5.5395 6.0472 4.0484
angles: 90.00 90.00 90.00
With the nearest neighbours (Å) after each atom.
Space group Cmmm (No. 65)
Symmetry-distinct sites (fractional):
1 In 0.0000 0.0000 0.0000 [2 per cell]  8 Pd 2.88
2 Pd 0.2500 0.2500 0.5000 [4 per cell]  2 C 2.05
3 C 0.0000 0.5000 0.5000 [2 per cell]  4 Pd 2.05

Output
Calculated volume   16.95 Å³/atom

=====

Run 2
A plane-wave DFT calculation with PBE was carried out for a geometry-optimized InPd2C structure.

abc: 7.1672 10.0587 5.1297
angles: 90.00 132.86 90.00
With the nearest neighbours (Å) after each atom.
Space group Cc (No. 9)
Symmetry-distinct sites (fractional):
1 In 0.0000 0.1343 0.0000 [4 per cell]  4 Pd 2.78-2.90
2 Pd 0.1972 0.2918 0.7617 [4 per cell]  2 C 2.03
3 Pd 0.4947 0.0593 0.5974 [4 per cell]  2 C 2.01-2.04
4 C 0.3724 0.1180 0.8340 [4 per cell]  4 Pd 2.01-2.04

Output
Calculated volume   16.94 Å³/atom

=====

Calculated relative energies: run 1 0.000; run 2 0.013, given in eV/atom

=====

Run 1
A plane-wave DFT calculation with PBE was carried out for a geometry-optimized InPd2C structure.

abc: 5.3283 5.4821 5.4856
angles: 90.34 97.65 112.06
With the nearest neighbours (Å) after each atom.
Space group P1 (No. 1)
Symmetry-distinct sites (fractional):
1 In 0.0000 0.0000 0.0000 [1 per cell]  1 C 2.25
2 In 0.0117 0.5284 0.4639 [1 per cell]  1 C 2.32
3 Pd 0.4955 0.9327 0.7505 [1 per cell]  2 C 2.04-2.07
4 Pd 0.5242 0.4415 0.6223 [1 per cell]  2 C 2.05-2.09
5 Pd 0.5710 0.5878 0.1272 [1 per cell]  2 C 2.05-2.06
6 Pd 0.5778 0.0918 0.2556 [1 per cell]  2 C 2.03-2.14
7 C 0.4277 0.2318 0.9273 [1 per cell]  4 Pd 2.05-2.14, 1 In 2.25
8 C 0.4687 0.7441 0.4208 [1 per cell]  4 Pd 2.03-2.09

Output
Calculated volume   18.36 Å³/atom

=====

Run 2
A plane-wave DFT calculation with PBE was carried out for a geometry-optimized InPd2C structure.

abc: 4.8275 5.5124 6.6432
angles: 114.27 110.80 90.07
With the nearest neighbours (Å) after each atom.
Space group P1 (No. 1)
Symmetry-distinct sites (fractional):
1 In 0.0000 0.0000 0.0000 [1 per cell]  4 Pd 2.76-2.82
2 In 0.2212 0.7329 0.4561 [1 per cell]  4 Pd 2.76-2.81
3 Pd 0.1082 0.2300 0.7280 [1 per cell]  2 C 1.97
4 Pd 0.5363 0.3649 0.2232 [1 per cell]  2 C 2.02
5 Pd 0.6086 0.5134 0.7278 [1 per cell]  2 C 1.97
6 Pd 0.6773 0.8700 0.2319 [1 per cell]  2 C 2.02
7 C 0.4747 0.4949 0.9695 [1 per cell]  4 Pd 1.97-2.02
8 C 0.7400 0.2516 0.4863 [1 per cell]  4 Pd 1.97-2.02

Output
Calculated volume   18.55 Å³/atom

=====

Run 3
A plane-wave DFT calculation with PBE was carried out for a geometry-optimized InPd2C structure.

abc: 5.7260 5.7854 8.9497
angles: 90.00 90.00 90.00
With the nearest neighbours (Å) after each atom.
Space group Fmm2 (No. 42)
Symmetry-distinct sites (fractional):
1 In 0.0000 0.0000 0.0000 [4 per cell]  1 C 2.22
2 Pd 0.2500 0.2500 0.2049 [8 per cell]  2 C 2.08
3 C 0.0000 0.0000 0.7517 [4 per cell]  4 Pd 2.08, 1 In 2.22

Output
Calculated volume   18.53 Å³/atom

=====

Run 4
A plane-wave DFT calculation with PBE was carried out for a geometry-optimized InPd2C structure.

abc: 5.1396 5.3492 5.5840
angles: 66.85 64.78 81.77
With the nearest neighbours (Å) after each atom.
Space group P1 (No. 1)
Symmetry-distinct sites (fractional):
1 In 0.0000 0.0000 0.0000 [1 per cell]  1 C 2.69, 5 Pd 2.73-3.01
2 In 0.3096 0.1869 0.2753 [1 per cell]  1 C 2.45
3 Pd 0.0391 0.5932 0.5380 [1 per cell]  2 C 2.04-2.05
4 Pd 0.4610 0.7051 0.6630 [1 per cell]  2 C 2.04-2.05
5 Pd 0.6060 0.1500 0.7245 [1 per cell]  2 C 2.04-2.08
6 Pd 0.8476 0.4774 0.1336 [1 per cell]  2 C 2.05-2.06
7 C 0.4530 0.4659 0.4587 [1 per cell]  4 Pd 2.04-2.08
8 C 0.7421 0.7591 0.8128 [1 per cell]  4 Pd 2.04-2.06

Output
Calculated volume   15.96 Å³/atom

=====

Calculated relative energies: run 1 0.041; run 2 0.000; run 3 0.033; run 4 0.017, given in eV/atom